Record 1
DFT (GGA-PBEsol) results for ZnP2PbO7 after structural relaxation.

Properties
The density of states at the Fermi level is 0.0 states/eV per cell. The value obtained for the calculated density is 5.23 g/cm³. For the uncorrected formation energy, the calculation gives -193 kJ/mol of atoms. The space group is P2_1/c (14).

Geometry as CIF:
```
data_ZnP2PbO7
_chemical_formula_sum 'Zn4 P8 Pb4 O28'
_symmetry_space_group_name_H-M 'P 1'
_symmetry_Int_Tables_number 1
_cell_length_a 5.327
_cell_length_b 8.280
_cell_length_c 13.901
_cell_angle_alpha 90.00
_cell_angle_beta 112.27
_cell_angle_gamma 90.00
loop_
_symmetry_equiv_pos_as_xyz
'x,y,z'
loop_
_atom_site_label
_atom_site_type_symbol
_atom_site_fract_x
_atom_site_fract_y
_atom_site_fract_z
Zn1 Zn 0.226 0.150 0.395
Zn2 Zn 0.226 0.350 0.895
Zn3 Zn 0.774 0.650 0.105
Zn4 Zn 0.774 0.850 0.605
P1 P 0.082 0.535 0.335
P2 P 0.082 0.965 0.835
P3 P 0.159 0.699 0.981
P4 P 0.159 0.801 0.481
P5 P 0.841 0.199 0.519
P6 P 0.841 0.301 0.019
P7 P 0.918 0.035 0.165
P8 P 0.918 0.465 0.665
Pb1 Pb 0.484 0.672 0.779
Pb2 Pb 0.484 0.828 0.279
Pb3 Pb 0.516 0.172 0.721
Pb4 Pb 0.516 0.328 0.221
O1 O 0.019 0.142 0.847
O2 O 0.019 0.358 0.347
O3 O 0.125 0.166 0.521
O4 O 0.125 0.334 0.021
O5 O 0.166 0.613 0.448
O6 O 0.166 0.887 0.948
O7 O 0.178 0.119 0.238
O8 O 0.178 0.381 0.738
O9 O 0.218 0.598 0.899
O10 O 0.218 0.902 0.399
O11 O 0.319 0.559 0.300
O12 O 0.319 0.941 0.800
O13 O 0.388 0.688 0.088
O14 O 0.388 0.812 0.588
O15 O 0.612 0.188 0.412
O16 O 0.612 0.312 0.912
O17 O 0.681 0.059 0.200
O18 O 0.681 0.441 0.700
O19 O 0.782 0.098 0.601
O20 O 0.782 0.402 0.101
O21 O 0.822 0.619 0.262
O22 O 0.822 0.881 0.762
O23 O 0.834 0.113 0.052
O24 O 0.834 0.387 0.552
O25 O 0.875 0.666 0.979
O26 O 0.875 0.834 0.479
O27 O 0.981 0.642 0.653
O28 O 0.981 0.858 0.153
```


Record 2
DFT (GGA-PBEsol) results for Hf2Si2Ni after structural relaxation.

Properties
The density of states at the Fermi level is 3.6 states/eV per cell. The value obtained for the calculated density is 10.25 g/cm³. For the uncorrected formation energy, the calculation gives -81 kJ/mol of atoms. The space group is P4/mbm (127).

Geometry as CIF:
```
data_Hf2Si2Ni
_chemical_formula_sum 'Hf4 Si4 Ni2'
_symmetry_space_group_name_H-M 'P 1'
_symmetry_Int_Tables_number 1
_cell_length_a 6.142
_cell_length_b 6.142
_cell_length_c 4.054
_cell_angle_alpha 90.00
_cell_angle_beta 90.00
_cell_angle_gamma 90.00
loop_
_symmetry_equiv_pos_as_xyz
'x,y,z'
loop_
_atom_site_label
_atom_site_type_symbol
_atom_site_fract_x
_atom_site_fract_y
_atom_site_fract_z
Hf1 Hf 0.171 0.329 0.000
Hf2 Hf 0.329 0.829 0.000
Hf3 Hf 0.671 0.171 0.000
Hf4 Hf 0.829 0.671 0.000
Si1 Si 0.135 0.635 0.500
Si2 Si 0.365 0.135 0.500
Si3 Si 0.635 0.865 0.500
Si4 Si 0.865 0.365 0.500
Ni1 Ni 0.000 0.000 0.500
Ni2 Ni 0.500 0.500 0.500
```


Record 3
DFT (GGA-PBEsol) results for CsBS3O11 after structural relaxation.

Properties
The density of states at the Fermi level is 0.0 states/eV per cell. The value obtained for the calculated density is 2.80 g/cm³. For the uncorrected formation energy, the calculation gives -153 kJ/mol of atoms. The space group is P2_1/c (14).

Geometry as CIF:
```
data_CsBS3O11
_chemical_formula_sum 'Cs4 B4 S12 O44'
_symmetry_space_group_name_H-M 'P 1'
_symmetry_Int_Tables_number 1
_cell_length_a 10.470
_cell_length_b 11.634
_cell_length_c 8.309
_cell_angle_alpha 90.00
_cell_angle_beta 103.29
_cell_angle_gamma 90.00
loop_
_symmetry_equiv_pos_as_xyz
'x,y,z'
loop_
_atom_site_label
_atom_site_type_symbol
_atom_site_fract_x
_atom_site_fract_y
_atom_site_fract_z
Cs1 Cs 0.242 0.135 0.063
Cs2 Cs 0.242 0.365 0.563
Cs3 Cs 0.758 0.635 0.437
Cs4 Cs 0.758 0.865 0.937
B1 B 0.324 0.720 0.934
B2 B 0.324 0.780 0.434
B3 B 0.676 0.220 0.566
B4 B 0.676 0.280 0.066
S1 S 0.075 0.653 0.797
S2 S 0.075 0.847 0.297
S3 S 0.238 0.521 0.053
S4 S 0.238 0.979 0.553
S5 S 0.455 0.660 0.700
S6 S 0.455 0.840 0.200
S7 S 0.545 0.160 0.800
S8 S 0.545 0.340 0.300
S9 S 0.762 0.021 0.447
S10 S 0.762 0.479 0.947
S11 S 0.925 0.153 0.703
S12 S 0.925 0.347 0.203
O1 O 0.042 0.218 0.715
O2 O 0.042 0.282 0.215
O3 O 0.080 0.569 0.673
O4 O 0.080 0.931 0.173
O5 O 0.099 0.591 0.977
O6 O 0.099 0.909 0.477
O7 O 0.193 0.735 0.823
O8 O 0.193 0.765 0.323
O9 O 0.238 0.082 0.460
O10 O 0.238 0.418 0.960
O11 O 0.241 0.515 0.225
O12 O 0.241 0.985 0.725
O13 O 0.336 0.686 0.553
O14 O 0.336 0.814 0.053
O15 O 0.339 0.606 0.017
O16 O 0.339 0.894 0.517
O17 O 0.426 0.204 0.831
O18 O 0.426 0.296 0.331
O19 O 0.427 0.735 0.843
O20 O 0.427 0.765 0.343
O21 O 0.445 0.540 0.735
O22 O 0.445 0.960 0.235
O23 O 0.555 0.040 0.765
O24 O 0.555 0.460 0.265
O25 O 0.573 0.235 0.657
O26 O 0.573 0.265 0.157
O27 O 0.574 0.704 0.669
O28 O 0.574 0.796 0.169
O29 O 0.661 0.106 0.483
O30 O 0.661 0.394 0.983
O31 O 0.664 0.186 0.947
O32 O 0.664 0.314 0.447
O33 O 0.759 0.015 0.275
O34 O 0.759 0.485 0.775
O35 O 0.762 0.582 0.040
O36 O 0.762 0.918 0.540
O37 O 0.807 0.235 0.677
O38 O 0.807 0.265 0.177
O39 O 0.901 0.091 0.523
O40 O 0.901 0.409 0.023
O41 O 0.920 0.069 0.827
O42 O 0.920 0.431 0.327
O43 O 0.958 0.718 0.785
O44 O 0.958 0.782 0.285
```


Record 4
DFT (GGA-PBEsol) results for SrY3Sc after structural relaxation.

Properties
For the energy relative to the elements, the calculation gives 5.5 eV per formula unit. The density of states at the Fermi level is 7.5 states/eV per cell. The value obtained for the calculated density is 4.00 g/cm³. The space group is Pm-3m (221).

Geometry as CIF:
```
data_SrY3Sc
_chemical_formula_sum 'Sr1 Y3 Sc1'
_symmetry_space_group_name_H-M 'P 1'
_symmetry_Int_Tables_number 1
_cell_length_a 5.493
_cell_length_b 5.493
_cell_length_c 5.493
_cell_angle_alpha 90.00
_cell_angle_beta 90.00
_cell_angle_gamma 90.00
loop_
_symmetry_equiv_pos_as_xyz
'x,y,z'
loop_
_atom_site_label
_atom_site_type_symbol
_atom_site_fract_x
_atom_site_fract_y
_atom_site_fract_z
Sr1 Sr 0.000 0.000 0.000
Y1 Y 0.000 0.000 0.500
Y2 Y 0.000 0.500 0.000
Y3 Y 0.500 0.000 0.000
Sc1 Sc 0.500 0.500 0.500
```


Q: What is the formula in the second record?
A: Hf2Si2Ni


Q: Which value of density of states at the Fermi level does entry 1 give?
A: 0.0 states/eV per cell


Q: Look up the density of states at the Fermi level of the first one.
A: 0.0 states/eV per cell